(1)
Compound: Ag8SeCl2F3
Source: Alexandria via LeMat-Bulk
Functional: PBE
Structure: optimized geometry

Summary:
N(E_F)	0.18	states/eV per atom
size of the total moment	0.00	μB per formula unit
energy	-3.02	eV per atom
ΔE_f (raw)	-45.7	kJ/mol of atoms
theoretical density	5.91	g cm⁻³

Cell lengths 7.5038, 7.5038, 18.5031 Å; angles 90.00, 90.00, 120.00 degrees
Last column: nearest neighbours and their distance in Å.
Space group R3m (No. 160, hexagonal axes)
Asymmetric unit:
1 Ag 0.0000 0.0000 0.0000 (multiplicity 3)  3 F 2.48, 1 Se 2.57
2 Ag 0.0000 0.0000 0.4692 (multiplicity 3)  1 Cl 2.51, 3 F 2.53
3 Ag 0.1918 0.3836 0.8280 (multiplicity 9)  1 Se 2.57, 1 Cl 2.58, 2 F 2.66
4 Ag 0.2036 0.4072 0.3862 (multiplicity 9)  2 F 2.46, 1 Cl 2.71
5 Se 0.0000 0.0000 0.8612 (multiplicity 3)  4 Ag 2.57
6 Cl 0.0000 0.0000 0.2588 (multiplicity 3)  3 Ag 2.58
7 Cl 0.0000 0.0000 0.6046 (multiplicity 3)  4 Ag 2.51-2.71
8 F 0.0032 0.5016 0.7339 (multiplicity 9)  6 Ag 2.46-2.66

(2)
Compound: Pr3Y8Ho
Source: Alexandria via LeMat-Bulk
Functional: PBE
Structure: optimized geometry

Summary:
formation energy	0.47	kcal/mol of atoms
N(E_F)	1.46	states/eV per atom
size of the total moment	0.00	μB per formula unit
energy	-5.87	eV per atom
theoretical density	5.43	g cm⁻³

Cell lengths 10.1934, 10.2075, 8.0423 Å; angles 90.00, 108.44, 90.00 degrees
Last column: nearest neighbours and their distance in Å.
Space group Cm (No. 8)
Asymmetric unit:
1 Pr 0.0000 0.0000 0.0000 (multiplicity 2)  2 Pr 3.60, 10 Y 3.60-3.61
2 Pr 0.0831 0.2505 0.3316 (multiplicity 4)  10 Y 3.60-3.62, 1 Ho 3.60, 1 Pr 3.60
3 Y 0.1658 0.5000 0.6671 (multiplicity 2)  1 Ho 3.58, 8 Y 3.59-3.62, 3 Pr 3.61
4 Y 0.1680 0.0000 0.6667 (multiplicity 2)  1 Ho 3.59, 8 Y 3.59-3.62, 3 Pr 3.61-3.62
5 Y 0.2496 0.2498 0.9978 (multiplicity 4)  6 Y 3.58-3.61, 4 Pr 3.60-3.61, 2 Ho 3.61
6 Y 0.3323 0.5000 0.3322 (multiplicity 2)  1 Ho 3.60, 5 Pr 3.60-3.62, 6 Y 3.61-3.62
7 Y 0.3344 0.0000 0.3329 (multiplicity 2)  6 Y 3.59-3.61, 5 Pr 3.60-3.62, 1 Ho 3.60
8 Y 0.4171 0.2490 0.6679 (multiplicity 4)  8 Y 3.58-3.62, 1 Ho 3.58, 3 Pr 3.60-3.62
9 Ho 0.9999 0.5000 0.9986 (multiplicity 2)  10 Y 3.58-3.61, 2 Pr 3.60

(3)
Compound: Cr2InRh2
Source: Alexandria via LeMat-Bulk
Functional: PBE
Structure: optimized geometry

Summary:
formation energy	3.21	kcal/mol of atoms
N(E_F)	0.71	states/eV per atom
size of the total moment	0.00	μB per formula unit
E above lowest polymorph	52	meV/atom
energy	-7.20	eV per atom
theoretical density	9.04	g cm⁻³

Cell lengths 3.9901, 3.9901, 9.7956 Å; angles 90.00, 90.00, 90.00 degrees
Last column: nearest neighbours and their distance in Å.
Space group I4/mmm (No. 139)
Asymmetric unit:
1 Cr 0.0000 0.0000 0.0975 (multiplicity 4)  1 Cr 1.91
2 In 0.0000 0.0000 0.5000 (multiplicity 2)  8 Cr 2.98, 8 Rh 3.16
3 Rh 0.0000 0.5000 0.2500 (multiplicity 4)  4 Cr 2.49

Question: Which of these has the highest N(E_F)?
Answer: Pr3Y8Ho